Entry 1:
GGA-PBE K3ZrMn2Te6, optimized geometry; total DFT energy (no corrections) = -4.7573 eV per atom; total magnetization = 9.00 μB/cell; formation energy from raw total energies = -64.8 kJ per mole of atoms
1.0
7.3360 0.0518 -0.0037
-3.6214 6.3801 -0.0037
-1.2438 -2.1536 8.1808
K Zr Mn Te
3 1 2 6
Cartesian
-2.4453 4.2649 4.0867 K
4.9162 0.0133 4.0867 K
1.2354 2.1391 4.0867 K
0.0000 0.0000 0.0000 Zr
0.0151 4.2799 -0.0037 Mn
3.6995 2.1520 -0.0037 Mn
3.7183 2.1384 6.6001 Te
2.4469 4.2368 1.5268 Te
-1.2475 2.1398 1.5733 Te
-0.0061 4.2894 6.6001 Te
0.0239 0.0414 6.6466 Te
2.4769 -0.0111 1.5733 Te

=====

Entry 2:
GGA-PBE KTi2Mn, optimized geometry; distance to the lowest polymorph of the same formula = 160.6 meV/atom; total DFT energy (no corrections) = -5.3117 eV per atom; total magnetization = 0.00 μB/cell
1.0
2.3017 -3.7754 1.4123
-2.3348 -3.8289 1.1975
0.1691 -3.7644 -2.7105
K Mn Ti
1 1 2
Cartesian
0.0000 0.0000 0.0000 K
0.0680 -5.6843 -0.0504 Mn
0.0340 -2.8422 -0.0252 Ti
0.1020 -8.5265 -0.0756 Ti

=====

- Which of these has the highest total DFT energy (no corrections)?
  K3ZrMn2Te6